Record 1
# Li2TaIO6, relaxed, DFT PBE
# E_form (uncorrected) in eV/f.u.: -16.49
# Total moment in μB per cell: 0.0
# Final energy in eV per atom: -6.35
data_Li2TaIO6
_chemical_formula_sum 'Li2 Ta1 I1 O6'
_symmetry_space_group_name_H-M 'P 4 m m'
_symmetry_Int_Tables_number 99
_cell_length_a 5.689
_cell_length_b 5.689
_cell_length_c 4.455
_cell_angle_alpha 90.00
_cell_angle_beta 90.00
_cell_angle_gamma 90.00
loop_
_symmetry_equiv_pos_as_xyz
'x,y,z'
'-y,x,z'
'-x,-y,z'
'y,-x,z'
'-x,y,z'
'y,x,z'
'x,-y,z'
'-y,-x,z'
loop_
_atom_site_label
_atom_site_type_symbol
_atom_site_fract_x
_atom_site_fract_y
_atom_site_fract_z
_atom_site_occupancy
Li1 Li 0.000 0.500 0.000 1
Ta1 Ta 0.000 0.000 0.740 1
I1 I 0.500 0.500 0.792 1
O1 O 0.000 0.000 0.338 1
O2 O 0.242 0.242 0.846 1
O3 O 0.500 0.500 0.388 1

=====

Record 2
# LiTaIO6, relaxed, DFT PBE
# E_form (uncorrected) in eV/f.u.: -12.99
# Total moment in μB per cell: 0.0
# Final energy in eV per atom: -6.45
data_LiTaIO6
_chemical_formula_sum 'Li2 Ta2 I2 O12'
_symmetry_space_group_name_H-M 'P -3 1 c'
_symmetry_Int_Tables_number 163
_symmetry_space_group_name_Hall '-P 3 2c'
_cell_length_a 5.3527
_cell_length_b 5.3527
_cell_length_c 9.7391
_cell_angle_alpha 90.00
_cell_angle_beta 90.00
_cell_angle_gamma 120.00
loop_
_atom_site_label
_atom_site_type_symbol
_atom_site_fract_x
_atom_site_fract_y
_atom_site_fract_z
_atom_site_occupancy
Li1 Li 0.0000 0.0000 0.0000 1
Ta1 Ta 0.3333 0.6667 0.2500 1
I1 I 0.3333 0.6667 0.7500 1
O1 O 0.0011 0.3739 0.6374 1

=====

Please write out number 2 again, unchanged.
# LiTaIO6, relaxed, DFT PBE
# E_form (uncorrected) in eV/f.u.: -12.99
# Total moment in μB per cell: 0.0
# Final energy in eV per atom: -6.45
data_LiTaIO6
_chemical_formula_sum 'Li2 Ta2 I2 O12'
_symmetry_space_group_name_H-M 'P -3 1 c'
_symmetry_Int_Tables_number 163
_symmetry_space_group_name_Hall '-P 3 2c'
_cell_length_a 5.3527
_cell_length_b 5.3527
_cell_length_c 9.7391
_cell_angle_alpha 90.00
_cell_angle_beta 90.00
_cell_angle_gamma 120.00
loop_
_atom_site_label
_atom_site_type_symbol
_atom_site_fract_x
_atom_site_fract_y
_atom_site_fract_z
_atom_site_occupancy
Li1 Li 0.0000 0.0000 0.0000 1
Ta1 Ta 0.3333 0.6667 0.2500 1
I1 I 0.3333 0.6667 0.7500 1
O1 O 0.0011 0.3739 0.6374 1

=====

> The highest E_form (uncorrected) belongs to which entry?

LiTaIO6

=====

> Look up the final energy of the second one.

-6.45 eV per atom